(1)
Density functional theory data (GGA-PBE) for a relaxed structure of NbCuNiRh.

Results
V ... 109.96 Å³/cell
Energy of formation from the pure elements ... -1.17 eV/f.u.
N(E_F) ... 4.1 states/eV/cell
Magnetic moment ... 0.0 μB per formula unit

Unit cell a=3.847 b=3.847 c=7.430 alpha=90.00 beta=90.00 gamma=90.00
Space group I-4m2 (No. 119)
Symmetry-distinct sites (fractional):
Nb (0.000, 0.000, 0.000) x2
Cu (0.000, 0.000, 0.500) x2
Ni (0.000, 0.500, 0.250) x2
Rh (0.000, 0.500, 0.750) x2


(2)
Density functional theory data (GGA-PBE) for a relaxed structure of Nb2Cu2NiS6.

Results
V ... 378.14 Å³/cell
N(E_F) ... 10.4 states/eV/cell
Magnetic moment ... 1.1 μB per formula unit
E_form (uncorrected) ... -0.481 eV per atom

Unit cell a=5.835 b=10.629 c=6.378 alpha=90.00 beta=107.08 gamma=90.00
Space group C2/m (No. 12)
Symmetry-distinct sites (fractional):
Nb (0.000, 0.137, 0.000) x4
Cu (0.000, 0.319, 0.500) x4
Ni (0.000, 0.500, 0.000) x2
S (0.213, 0.500, 0.747) x4
S (0.242, 0.324, 0.238) x8


(3)
Density functional theory data (GGA-PBE) for a relaxed structure of NbCu2NiS4.

Results
V ... 298.67 Å³/cell
N(E_F) ... 9.1 states/eV/cell
Magnetic moment ... 1.0 μB per formula unit
E_form (uncorrected) ... -0.474 eV per atom

Unit cell a=5.330 b=5.330 c=10.514 alpha=90.00 beta=90.00 gamma=90.00
Space group I-42m (No. 121)
Symmetry-distinct sites (fractional):
Nb (0.000, 0.000, 0.000) x2
Cu (0.000, 0.500, 0.250) x4
Ni (0.000, 0.000, 0.500) x2
S (0.243, 0.243, 0.625) x8


(4)
Density functional theory data (GGA-PBE) for a relaxed structure of ScNbCuNi.

Results
V ... 251.20 Å³/cell
Energy of formation from the pure elements ... -0.37 eV/f.u.
N(E_F) ... 20.3 states/eV/cell
Magnetic moment ... 0.3 μB per formula unit

Unit cell a=6.310 b=6.310 c=6.310 alpha=90.00 beta=90.00 gamma=90.00
Space group F-43m (No. 216)
Symmetry-distinct sites (fractional):
Sc (0.000, 0.000, 0.000) x4
Nb (0.000, 0.000, 0.500) x4
Cu (0.250, 0.250, 0.250) x4
Ni (0.250, 0.250, 0.750) x4


(5)
Density functional theory data (GGA-PBE) for a relaxed structure of NbCu2SiNi.

Results
V ... 75.74 Å³/cell
N(E_F) ... 4.8 states/eV/cell
Magnetic moment ... 0.0 μB per formula unit
E_form (uncorrected) ... 0.514 eV per atom

Unit cell a=4.256 b=4.256 c=4.182 alpha=90.00 beta=90.00 gamma=90.00
Space group P4/mmm (No. 123)
Symmetry-distinct sites (fractional):
Nb (0.000, 0.000, 0.000) x1
Cu (0.000, 0.500, 0.500) x2
Si (0.500, 0.500, 0.500) x1
Ni (0.500, 0.500, 0.000) x1


(6)
Density functional theory data (GGA-PBE) for a relaxed structure of Sm2NbCu3Ni12.

Results
V ... 811.22 Å³/cell
Energy of formation from the pure elements ... 4.12 eV/f.u.
N(E_F) ... 59.9 states/eV/cell
Magnetic moment ... 0.0 μB per formula unit

Unit cell a=6.0562 b=6.0562 c=25.5392 alpha=90.00 beta=90.00 gamma=120.00
Space group R-3m (No. 166, hexagonal axes)
Symmetry-distinct sites (fractional):
Sm (0.0000, 0.0000, 0.1489) x6
Nb (0.0000, 0.0000, 0.5000) x3
Cu (0.0000, 0.5000, 0.0000) x9
Ni (0.0362, 0.5181, 0.0954) x18
Ni (0.0763, 0.5381, 0.6180) x18


Which of these has the highest magnetic moment?
Nb2Cu2NiS6


Which of these has the highest N(E_F)?
Sm2NbCu3Ni12


Which value of V does entry 1 give?
109.96 Å³/cell